[1]
Material: CsTeH3
Method: DFT, PBE
State: optimized geometry

Geometry as POSCAR:
```
CsTeH3
1.0
4.491 0.000 0.000
0.000 4.491 0.000
0.000 0.000 4.491
Cs Te H
1 1 3
Direct
0.000 0.000 0.000 Cs
0.500 0.500 0.500 Te
0.000 0.500 0.500 H
0.500 0.000 0.500 H
0.500 0.500 0.000 H
```

The polymorph energy (0 for the lowest one) is 0.493 eV/atom. The raw total energy comes out at -2.64 eV/atom. Its space group is Pm-3m. Its theoretical density is 4.83 g cm⁻³.

---

[2]
Material: Sm2TaGa3Ir4
Method: DFT, PBE
State: optimized geometry

Geometry as POSCAR:
```
Sm2TaGa3Ir4
1.0
4.230 0.000 0.000
0.000 4.230 0.000
0.000 0.000 10.697
Sm Ta Ga Ir
2 1 3 4
Direct
0.000 0.500 0.228 Sm
0.500 0.000 0.772 Sm
0.000 0.000 0.500 Ta
0.000 0.500 0.874 Ga
0.500 0.000 0.126 Ga
0.500 0.500 0.500 Ga
0.000 0.000 0.000 Ir
0.000 0.500 0.638 Ir
0.500 0.000 0.362 Ir
0.500 0.500 0.000 Ir
```

The raw total energy comes out at -7.26 eV/atom. As for the formation energy: -0.68 eV per atom. Its space group is P-4m2. Its theoretical density is 12.67 g cm⁻³.

---

[3]
Material: YTlH2
Method: DFT, PBE
State: optimized geometry

Geometry as POSCAR:
```
YTlH2
1.0
-2.460 2.460 5.847
2.460 -2.460 5.847
2.460 2.460 -5.847
Y Tl H
2 2 4
Direct
0.000 0.000 0.000 Y
0.750 0.250 0.500 Y
0.250 0.750 0.500 Tl
0.500 0.500 0.000 Tl
0.016 0.625 0.891 H
0.375 0.266 0.391 H
0.734 0.125 0.109 H
0.875 0.984 0.609 H
```

The polymorph energy (0 for the lowest one) is 0.000 eV/atom. The raw total energy comes out at -4.04 eV/atom. Its space group is I-42d. Its theoretical density is 6.93 g cm⁻³.

---

Density of states at the Fermi level readings, ordered: 0.8, 7.8, 1.7 states/eV/f.u.